Record 1
Here is a relaxed structure of PmDy3Y from the Alexandria database. Energies are from GGA-PBE.

Output
Energy relative to the elements in eV/f.u.: 0.06
Excess energy over the best structure of this formula in the dataset in meV per atom: 0

a b c (Å): 9.6399 5.6815 6.3159
angles (deg): 90.00 109.11 90.00
Closest atoms and distances in Å follow each position.
Atoms (fractional coordinates):
Dy: 0.0005 0.9500 0.1644  7 Dy 3.52-3.66, 4 Pm 3.54-3.66, 1 Y 3.65
Dy: 0.1997 0.9500 0.7664  3 Pm 3.53-3.64, 3 Y 3.54-3.65, 6 Dy 3.54-3.66
Y: 0.6000 0.9500 0.9665  2 Y 3.54, 8 Dy 3.54-3.65, 2 Pm 3.65
Y: 0.4000 0.4500 0.0335  2 Y 3.54, 8 Dy 3.54-3.65, 2 Pm 3.65
Pm: 0.2000 0.4500 0.4335  10 Dy 3.53-3.66, 2 Y 3.65
Pm: 0.8000 0.9500 0.5665  10 Dy 3.53-3.66, 2 Y 3.65
Dy: 0.8003 0.4500 0.2336  3 Pm 3.53-3.64, 3 Y 3.54-3.65, 6 Dy 3.54-3.66
Dy: 0.5992 0.4500 0.6324  5 Dy 3.53-3.65, 4 Y 3.54-3.65, 3 Pm 3.54-3.64
Dy: 0.9995 0.4500 0.8356  7 Dy 3.52-3.66, 4 Pm 3.54-3.66, 1 Y 3.65
Dy: 0.4008 0.9500 0.3676  5 Dy 3.53-3.65, 4 Y 3.54-3.65, 3 Pm 3.54-3.64

***

Record 2
Here is a relaxed structure of NbBSbTe2 from the Alexandria database. Energies are from GGA-PBE.

Output
Excess energy over the best structure of this formula in the dataset in meV per atom: 233

a b c (Å): 5.3851 5.3851 5.4322
angles (deg): 90.00 90.00 90.00
Closest atoms and distances in Å follow each position.
Atoms (fractional coordinates):
B: 0.5000 0.5000 0.5000  4 Sb 3.81, 8 Te 3.82
Te: 0.5000 0.0000 0.0000  2 Nb 2.69
Te: 0.0000 0.5000 0.0000  2 Nb 2.69
Nb: 0.0000 0.0000 0.0000  4 Te 2.69, 2 Sb 2.72
Sb: 0.0000 0.0000 0.5000  2 Nb 2.72

***

Record 3
Here is a relaxed structure of Al2V2Ga from the Alexandria database. Energies are from GGA-PBE.

Output
Energy relative to the elements in eV/f.u.: 0.18
Excess energy over the best structure of this formula in the dataset in meV per atom: 221

a b c (Å): 6.6663 6.6663 3.4009
angles (deg): 90.00 90.00 90.00
Closest atoms and distances in Å follow each position.
Atoms (fractional coordinates):
Al: 0.6300 0.1300 0.0000  1 Al 2.45, 6 V 2.54-2.64, 2 Ga 2.61
Al: 0.3700 0.8700 0.0000  1 Al 2.45, 6 V 2.54-2.64, 2 Ga 2.61
Ga: 0.0000 0.0000 0.0000  4 Al 2.61
Al: 0.1300 0.3700 0.0000  1 Al 2.45, 6 V 2.54-2.64, 2 Ga 2.61
V: 0.1704 0.6704 0.5000  6 Al 2.54-2.64
Ga: 0.5000 0.5000 0.0000  4 Al 2.61
V: 0.3296 0.1704 0.5000  6 Al 2.54-2.64
V: 0.6704 0.8296 0.5000  6 Al 2.54-2.64
Al: 0.8700 0.6300 0.0000  1 Al 2.45, 6 V 2.54-2.64, 2 Ga 2.61
V: 0.8296 0.3296 0.5000  6 Al 2.54-2.64

***

Record 4
Here is a relaxed structure of Pr2ErP3Rh4 from the Alexandria database. Energies are from GGA-PBE.

Output
Energy relative to the elements in eV/f.u.: -10.63

a b c (Å): 4.0474 4.0474 11.1880
angles (deg): 90.00 90.00 90.00
Closest atoms and distances in Å follow each position.
Atoms (fractional coordinates):
P: 0.5000 0.0000 0.8761  5 Rh 2.36-2.45
Rh: 0.5000 0.0000 0.6655  1 P 2.36
Pr: 0.5000 0.0000 0.2257  4 P 3.08, 8 Rh 3.11-3.24
Rh: 0.0000 0.0000 0.0000  4 P 2.45
Pr: 0.0000 0.5000 0.7743  4 P 3.08, 8 Rh 3.11-3.24
P: 0.0000 0.0000 0.5000  4 Rh 2.74, 4 Er 2.86
Rh: 0.5000 0.5000 0.0000  4 P 2.45
Rh: 0.0000 0.5000 0.3345  1 P 2.36
P: 0.0000 0.5000 0.1239  5 Rh 2.36-2.45
Er: 0.5000 0.5000 0.5000  4 Rh 2.74, 4 P 2.86